5
Lattice="4.202 0.000 0.000 0.000 4.202 0.000 0.000 0.000 4.202" Properties=species:S:1:pos:R:3 comment="ScN3O, optimized geometry, DFT PBE" raw_formation_energy_ev_per_atom=2.024 spacegroup=Pm-3m n_ef_per_ev_atom=1.04 vol_a3_per_atom=14.8 pbc="T T T"
Sc 0.000 0.000 0.000
N 0.000 0.000 2.101
N 0.000 2.101 0.000
N 2.101 0.000 0.000
O 2.101 2.101 2.101



12
Lattice="2.967 0.000 0.000 -1.483 2.569 0.000 0.000 0.000 33.110" Properties=species:S:1:pos:R:3 comment="LaAg2Mo, optimized geometry, DFT PBE" spacegroup=R-3m n_ef_per_ev_atom=1.43 formation_enthalpy_0k_kj_per_mol_atoms=68.3 polymorph_energy_ev_per_atom=0.3425 vol_a3_per_atom=21.0 pbc="T T T"
La 0.000 0.000 0.000
La 0.000 1.713 22.073
La 1.483 0.856 11.037
Ag 0.000 0.000 3.163
Ag 0.000 0.000 29.947
Ag 0.000 1.713 18.910
Ag 0.000 1.713 25.236
Ag 1.483 0.856 7.874
Ag 1.483 0.856 14.200
Mo 0.000 0.000 16.555
Mo 0.000 1.713 5.518
Mo 1.483 0.856 27.592



4
Lattice="3.117 0.000 0.000 0.000 4.921 0.000 -0.385 0.000 4.525" Properties=species:S:1:pos:R:3 comment="Zn2SbOs, optimized geometry, DFT PBE" raw_formation_energy_ev_per_atom=0.410 spacegroup=P2/m n_ef_per_ev_atom=0.63 vol_a3_per_atom=17.4 pbc="T T T"
Zn 0.657 0.000 1.064
Zn 2.075 0.000 3.460
Sb 1.366 2.461 2.262
Os 0.000 2.461 0.000



12
Lattice="3.446 0.000 0.000 -1.723 2.984 0.000 0.000 0.000 29.639" Properties=species:S:1:pos:R:3 comment="LiYIn2, optimized geometry, DFT PBE" spacegroup=R-3m n_ef_per_ev_atom=0.66 formation_enthalpy_0k_kj_per_mol_atoms=-18.8 vol_a3_per_atom=25.4 pbc="T T T"
Li 0.000 0.000 0.000
Li 0.000 1.990 19.759
Li 1.723 0.995 9.880
Y 0.000 0.000 14.820
Y 0.000 1.990 4.940
Y 1.723 0.995 24.699
In 0.000 0.000 7.581
In 0.000 0.000 22.058
In 0.000 1.990 12.179
In 0.000 1.990 27.340
In 1.723 0.995 2.299
In 1.723 0.995 17.460



4
Lattice="3.233 0.000 0.000 -1.616 2.800 0.000 0.000 0.000 8.579" Properties=species:S:1:pos:R:3 comment="OsPb, optimized geometry, DFT PBE" spacegroup=P6_3/mmc n_ef_per_ev_atom=1.04 formation_enthalpy_0k_kj_per_mol_atoms=113.4 vol_a3_per_atom=19.4 pbc="T T T"
Os 0.000 1.867 2.145
Os 1.616 0.933 6.435
Pb 0.000 0.000 0.000
Pb 0.000 0.000 4.290



6
Lattice="0.000 3.387 3.387 3.387 0.000 3.387 3.387 3.387 0.000" Properties=species:S:1:pos:R:3 comment="Mn4TcSe, optimized geometry, DFT PBE" raw_formation_energy_ev_per_atom=0.453 spacegroup=F-43m n_ef_per_ev_atom=1.63 vol_a3_per_atom=13.0 pbc="T T T"
Mn 0.838 0.838 0.838
Mn 2.549 2.549 0.838
Mn 2.549 0.838 2.549
Mn 0.838 2.549 2.549
Tc 5.081 5.081 5.081
Se 3.387 3.387 3.387



4
Lattice="2.970 0.000 0.000 0.000 5.250 0.000 -0.120 0.000 5.020" Properties=species:S:1:pos:R:3 comment="Cd2InRu, optimized geometry, DFT PBE" spacegroup=P2/m n_ef_per_ev_atom=0.56 formation_enthalpy_0k_kj_per_mol_atoms=25.3 polymorph_energy_ev_per_atom=0.1755 vol_a3_per_atom=19.6 pbc="T T T"
Cd 0.705 0.000 1.300
Cd 2.145 0.000 3.720
In 1.485 2.625 0.000
Ru -0.060 2.625 2.510



12
Lattice="12.082 0.000 0.000 0.000 5.210 0.000 -5.487 0.000 6.047" Properties=species:S:1:pos:R:3 comment="Sr2Tl3Cd, optimized geometry, DFT PBE" spacegroup=Cm n_ef_per_ev_atom=0.48 formation_enthalpy_0k_kj_per_mol_atoms=-33.6 polymorph_energy_ev_per_atom=0.0000 vol_a3_per_atom=31.7 pbc="T T T"
Sr 0.000 0.000 0.000
Sr -2.243 0.000 3.477
Sr 6.041 2.605 0.000
Sr 3.798 2.605 3.477
Tl 2.348 2.605 0.074
Tl 1.361 0.000 3.410
Tl 3.705 0.000 1.024
Tl 8.390 0.000 0.074
Tl 7.402 2.605 3.410
Tl 9.746 2.605 1.024
Cd 0.280 2.605 2.468
Cd 6.321 0.000 2.468



20
Lattice="7.507 4.334 4.901 -7.507 4.334 4.901 0.000 -8.669 4.901" Properties=species:S:1:pos:R:3 comment="CsRb3Cu4Br12, optimized geometry, DFT PBE" raw_formation_energy_ev_per_atom=-0.829 spacegroup=R32 n_ef_per_ev_atom=0.34 vol_a3_per_atom=47.8 pbc="T T T"
Cs 0.000 0.000 0.000
Rb -3.934 -1.854 4.901
Rb -3.934 1.854 9.802
Rb 0.361 4.334 4.901
Cu -3.505 -6.070 7.352
Cu 0.000 0.000 7.352
Cu -3.505 6.070 7.352
Cu 7.009 0.000 7.352
Br -1.169 -2.178 2.772
Br -5.652 0.000 7.352
Br -1.301 2.102 2.772
Br -2.311 0.000 7.352
Br 2.471 0.076 2.772
Br 2.826 -4.895 7.352
Br 1.156 -2.002 7.352
Br -1.301 -2.102 11.931
Br 1.156 2.002 7.352
Br -1.169 2.178 11.931
Br 2.826 4.895 7.352
Br 2.471 -0.076 11.931



7
Lattice="2.210 1.276 7.546 -2.210 1.276 7.546 0.000 -2.552 7.546" Properties=species:S:1:pos:R:3 comment="Mg2Zr2Cu3, optimized geometry, DFT PBE" spacegroup=R-3m n_ef_per_ev_atom=0.60 formation_enthalpy_0k_kj_per_mol_atoms=2.8 vol_a3_per_atom=18.2 pbc="T T T"
Mg 0.000 0.000 2.840
Mg 0.000 0.000 19.797
Zr 0.000 0.000 8.473
Zr 0.000 0.000 14.164
Cu 0.000 0.000 5.627
Cu 0.000 0.000 11.319
Cu 0.000 0.000 17.010



12
Lattice="6.834 0.000 0.000 0.000 5.118 0.000 0.000 0.000 8.923" Properties=species:S:1:pos:R:3 comment="CeThPd, optimized geometry, DFT PBE" spacegroup=Pnma n_ef_per_ev_atom=2.13 formation_enthalpy_0k_kj_per_mol_atoms=-37.6 polymorph_energy_ev_per_atom=0.0000 vol_a3_per_atom=26.0 pbc="T T T"
Ce 0.127 1.279 1.738
Ce 3.290 3.838 6.199
Ce 3.544 1.279 2.724
Ce 6.707 3.838 7.185
Th 1.163 3.838 3.598
Th 2.254 1.279 8.060
Th 4.580 3.838 0.863
Th 5.671 1.279 5.325
Pd 1.678 3.838 0.628
Pd 1.739 1.279 5.090
Pd 5.095 3.838 3.833
Pd 5.156 1.279 8.295



17
Lattice="8.079 0.000 0.000 -4.040 6.997 0.000 0.000 0.000 5.721" Properties=species:S:1:pos:R:3 comment="Li6Cd10Pd, optimized geometry, DFT PBE" spacegroup=P-31m n_ef_per_ev_atom=0.18 formation_enthalpy_0k_kj_per_mol_atoms=-20.6 vol_a3_per_atom=19.0 pbc="T T T"
Li -1.475 2.554 1.768
Li -2.565 4.442 3.954
Li 2.950 0.000 1.768
Li 1.475 2.554 3.954
Li 5.130 0.000 3.954
Li 2.565 4.442 1.768
Cd -1.098 1.902 4.617
Cd -2.942 5.095 1.105
Cd 2.196 0.000 4.617
Cd 1.098 1.902 1.105
Cd 0.000 4.665 0.000
Cd 0.000 4.665 2.861
Cd 4.040 2.332 0.000
Cd 4.040 2.332 2.861
Cd 5.883 0.000 1.105
Cd 2.942 5.095 4.617
Pd 0.000 0.000 2.861



8
Lattice="3.636 0.000 0.000 0.000 4.459 0.000 0.000 0.000 10.731" Properties=species:S:1:pos:R:3 comment="Ho4GaCu3, optimized geometry, DFT PBE" spacegroup=Pmm2 n_ef_per_ev_atom=0.95 formation_enthalpy_0k_kj_per_mol_atoms=-31.7 polymorph_energy_ev_per_atom=0.0162 vol_a3_per_atom=21.7 pbc="T T T"
Ho 0.000 0.000 0.000
Ho 0.000 2.229 2.942
Ho 1.818 0.000 5.185
Ho 1.818 2.229 8.425
Ga 0.000 0.000 7.621
Cu 0.000 2.229 6.035
Cu 1.818 0.000 2.225
Cu 1.818 2.229 0.715



12
Lattice="5.943 0.000 0.000 -2.972 5.147 0.000 0.000 0.000 7.649" Properties=species:S:1:pos:R:3 comment="KHoRu2O8, optimized geometry, DFT PBE" raw_formation_energy_ev_per_atom=-1.488 spacegroup=P-3 n_ef_per_ev_atom=0.14 vol_a3_per_atom=19.5 pbc="T T T"
K 0.000 0.000 0.000
Ho 0.000 0.000 3.824
Ru 0.000 3.431 5.843
Ru 2.972 1.716 1.806
O -0.006 1.731 5.234
O -1.469 4.287 5.234
O 0.000 3.431 7.592
O 1.496 0.871 2.415
O 1.475 4.276 5.234
O 2.972 1.716 0.057
O 4.441 0.860 2.415
O 2.978 3.416 2.415



16
Lattice="6.644 0.000 0.000 0.000 6.644 0.000 0.000 0.000 6.644" Properties=species:S:1:pos:R:3 comment="TmLuCoRh, optimized geometry, DFT PBE" spacegroup=F-43m n_ef_per_ev_atom=0.65 formation_enthalpy_0k_kj_per_mol_atoms=-57.7 vol_a3_per_atom=18.3 pbc="T T T"
Tm 0.000 0.000 0.000
Tm 0.000 3.322 3.322
Tm 3.322 0.000 3.322
Tm 3.322 3.322 0.000
Lu 0.000 0.000 3.322
Lu 0.000 3.322 0.000
Lu 3.322 0.000 0.000
Lu 3.322 3.322 3.322
Co 1.661 1.661 1.661
Co 1.661 4.983 4.983
Co 4.983 1.661 4.983
Co 4.983 4.983 1.661
Rh 1.661 1.661 4.983
Rh 1.661 4.983 1.661
Rh 4.983 1.661 1.661
Rh 4.983 4.983 4.983



4
Lattice="4.932 0.000 0.000 0.000 4.932 0.000 0.000 0.000 7.009" Properties=species:S:1:pos:R:3 comment="K2LaSc, optimized geometry, DFT PBE" spacegroup=P4/mmm n_ef_per_ev_atom=1.56 formation_enthalpy_0k_kj_per_mol_atoms=58.7 polymorph_energy_ev_per_atom=0.3043 vol_a3_per_atom=42.6 pbc="T T T"
K 0.000 2.466 0.000
K 2.466 0.000 0.000
La 0.000 0.000 3.504
Sc 2.466 2.466 3.504



10
Lattice="8.259 0.000 0.000 0.000 8.259 0.000 0.000 0.000 3.773" Properties=species:S:1:pos:R:3 comment="CaHo2Au2, optimized geometry, DFT PBE" spacegroup=P4/mbm n_ef_per_ev_atom=1.05 formation_enthalpy_0k_kj_per_mol_atoms=-67.7 vol_a3_per_atom=25.7 pbc="T T T"
Ca 0.000 0.000 0.000
Ca 4.129 4.129 0.000
Ho 1.279 2.850 1.887
Ho 2.850 6.979 1.887
Ho 5.408 1.279 1.887
Ho 6.979 5.408 1.887
Au 1.140 5.269 0.000
Au 2.990 1.140 0.000
Au 5.269 7.119 0.000
Au 7.119 2.990 0.000



12
Lattice="3.823 0.000 0.000 -1.911 3.310 0.000 0.000 0.000 32.785" Properties=species:S:1:pos:R:3 comment="PrPbBr2, optimized geometry, DFT PBE" raw_formation_energy_ev_per_atom=-0.655 spacegroup=R-3m n_ef_per_ev_atom=0.44 vol_a3_per_atom=34.6 pbc="T T T"
Pr 0.000 0.000 0.000
Pr 0.000 2.207 21.857
Pr 1.911 1.103 10.928
Pb 0.000 0.000 16.393
Pb 0.000 2.207 5.464
Pb 1.911 1.103 27.321
Br 0.000 0.000 2.836
Br 0.000 0.000 29.949
Br 0.000 2.207 19.020
Br 0.000 2.207 24.693
Br 1.911 1.103 8.092
Br 1.911 1.103 13.765



5
Lattice="4.997 0.000 0.000 0.000 4.997 0.000 0.000 0.000 4.965" Properties=species:S:1:pos:R:3 comment="NiSnP2S, optimized geometry, DFT PBE" raw_formation_energy_ev_per_atom=1.402 spacegroup=P4/mmm n_ef_per_ev_atom=1.55 polymorph_energy_ev_per_atom=1.0294 vol_a3_per_atom=24.8 pbc="T T T"
Ni 0.000 0.000 0.000
Sn 2.498 2.498 2.483
P 0.000 2.498 2.483
P 2.498 0.000 2.483
S 2.498 2.498 0.000



8
Lattice="4.348 0.000 0.000 0.000 4.348 0.000 0.000 0.000 9.346" Properties=species:S:1:pos:R:3 comment="Y2HgOs, optimized geometry, DFT PBE" spacegroup=I-4m2 n_ef_per_ev_atom=0.95 formation_enthalpy_0k_kj_per_mol_atoms=-0.6 vol_a3_per_atom=22.1 pbc="T T T"
Y 0.000 0.000 0.000
Y 0.000 2.174 2.336
Y 2.174 0.000 7.009
Y 2.174 2.174 4.673
Hg 0.000 2.174 7.009
Hg 2.174 0.000 2.336
Os 0.000 0.000 4.673
Os 2.174 2.174 0.000



10
Lattice="4.449 0.000 0.000 0.000 4.449 0.000 0.000 0.000 10.563" Properties=species:S:1:pos:R:3 comment="Pm2Sn3GeRh4, optimized geometry, DFT PBE" spacegroup=P-4m2 n_ef_per_ev_atom=0.51 formation_enthalpy_0k_kj_per_mol_atoms=-69.4 vol_a3_per_atom=20.9 pbc="T T T"
Pm 0.000 2.225 2.555
Pm 2.225 0.000 8.007
Sn 0.000 0.000 0.000
Sn 0.000 2.225 6.690
Sn 2.225 0.000 3.873
Ge 2.225 2.225 0.000
Rh 0.000 0.000 5.281
Rh 0.000 2.225 9.268
Rh 2.225 0.000 1.295
Rh 2.225 2.225 5.281



16
Lattice="5.945 0.000 0.000 0.000 5.945 0.000 0.000 0.000 10.139" Properties=species:S:1:pos:R:3 comment="Ac2PPt5, optimized geometry, DFT PBE" spacegroup=I4mm n_ef_per_ev_atom=0.51 formation_enthalpy_0k_kj_per_mol_atoms=-94.5 vol_a3_per_atom=22.4 pbc="T T T"
Ac 0.000 2.972 0.000
Ac 0.000 2.972 5.070
Ac 2.972 0.000 0.000
Ac 2.972 0.000 5.070
P 0.000 0.000 3.455
P 2.972 2.972 8.525
Pt 0.000 0.000 5.761
Pt 1.434 1.434 7.636
Pt 1.434 4.510 7.636
Pt 1.538 1.538 2.566
Pt 1.538 4.406 2.566
Pt 2.972 2.972 0.692
Pt 4.406 1.538 2.566
Pt 4.406 4.406 2.566
Pt 4.510 1.434 7.636
Pt 4.510 4.510 7.636



20
Lattice="5.518 -9.536 0.000 5.518 9.536 0.000 0.000 0.000 6.463" Properties=species:S:1:pos:R:3 comment="PmPr3Y6, optimized geometry, DFT PBE" spacegroup=Cmc2_1 n_ef_per_ev_atom=1.39 formation_enthalpy_0k_kj_per_mol_atoms=13.4 polymorph_energy_ev_per_atom=0.0000 vol_a3_per_atom=34.0 pbc="T T T"
Pm 5.518 5.866 3.232
Pm 5.518 -5.866 0.000
Pr 1.976 2.184 2.094
Pr 1.976 -2.184 5.325
Pr 5.518 2.147 2.794
Pr 5.518 -2.147 6.026
Pr 9.059 2.184 2.094
Pr 9.059 -2.184 5.325
Y 5.518 8.795 1.446
Y 2.901 3.972 4.759
Y 5.518 4.413 0.143
Y 3.664 0.841 5.898
Y 3.664 -0.841 2.666
Y 2.901 -3.972 1.527
Y 8.134 3.972 4.759
Y 7.372 0.841 5.898
Y 7.372 -0.841 2.666
Y 5.518 -4.413 3.375
Y 8.134 -3.972 1.527
Y 5.518 -8.795 4.678



8
Lattice="4.097 0.000 0.000 0.000 4.097 0.000 0.000 0.000 8.007" Properties=species:S:1:pos:R:3 comment="InMoPt2, optimized geometry, DFT PBE" spacegroup=I4/mmm n_ef_per_ev_atom=0.86 formation_enthalpy_0k_kj_per_mol_atoms=-9.5 vol_a3_per_atom=16.8 pbc="T T T"
In 0.000 0.000 0.000
In 2.048 2.048 4.003
Mo 0.000 0.000 4.003
Mo 2.048 2.048 0.000
Pt 0.000 2.048 2.002
Pt 0.000 2.048 6.005
Pt 2.048 0.000 2.002
Pt 2.048 0.000 6.005



5
Lattice="4.903 0.000 0.000 0.000 4.903 0.000 0.000 0.000 3.419" Properties=species:S:1:pos:R:3 comment="MnWSe2N, optimized geometry, DFT PBE" raw_formation_energy_ev_per_atom=0.726 spacegroup=P4/mmm n_ef_per_ev_atom=0.67 polymorph_energy_ev_per_atom=0.4482 vol_a3_per_atom=16.4 pbc="T T T"
Mn 0.000 0.000 0.000
W 2.451 2.451 1.709
Se 0.000 2.451 0.000
Se 2.451 0.000 0.000
N 0.000 0.000 1.709



Number 1: spin magnetization 7.30 μB per formula unit. Number 2: spin magnetization 0.64 μB per formula unit. Number 3: spin magnetization 0.00 μB per formula unit. Number 4: spin magnetization 0.00 μB per formula unit. Number 5: spin magnetization 0.00 μB per formula unit. Number 6: spin magnetization 5.86 μB per formula unit. Number 7: spin magnetization 0.89 μB per formula unit. Number 8: spin magnetization 0.00 μB per formula unit. Number 9: spin magnetization 1.85 μB per formula unit. Number 10: spin magnetization 0.99 μB per formula unit. Number 11: spin magnetization 0.67 μB per formula unit. Number 12: spin magnetization 0.00 μB per formula unit. Number 13: spin magnetization 0.00 μB per formula unit. Number 14: spin magnetization 4.04 μB per formula unit. Number 15: spin magnetization 0.03 μB per formula unit. Number 16: spin magnetization 0.67 μB per formula unit. Number 17: spin magnetization 0.00 μB per formula unit. Number 18: spin magnetization 0.00 μB per formula unit. Number 19: spin magnetization 1.29 μB per formula unit. Number 20: spin magnetization 0.00 μB per formula unit. Number 21: spin magnetization 0.00 μB per formula unit. Number 22: spin magnetization 0.00 μB per formula unit. Number 23: spin magnetization 0.00 μB per formula unit. Number 24: spin magnetization 1.26 μB per formula unit. Number 25: spin magnetization 4.10 μB per formula unit.